No. 1
RbZrNb3, relaxed, DFT PBE; raw total energy = -6.12 eV per atom; DFT formation energy = 1.829 eV/atom
1.0
-4.908 -0.599 1.514
-0.887 -3.048 -4.082
1.366 -4.134 2.790
Nb Rb Zr
3 1 1
Direct
0.000 0.500 0.000 Nb
0.000 0.000 0.500 Nb
0.500 0.000 0.000 Nb
0.500 0.500 0.500 Rb
0.000 0.000 0.000 Zr


No. 2
LiLaInPb, relaxed, DFT PBE; raw total energy = -3.75 eV per atom; DFT formation energy = -0.426 eV/atom
1.0
4.699 0.000 0.000
0.000 4.763 0.000
0.000 0.000 4.878
Li La In Pb
1 1 1 1
Direct
0.000 0.000 0.000 Li
0.000 0.500 0.500 La
0.500 0.500 0.000 In
0.500 0.000 0.500 Pb


No. 3
HoTh4Sn4, relaxed, DFT PBE; raw total energy = -5.89 eV per atom; DFT formation energy = -0.301 eV/atom
1.0
-3.003 5.398 -1.240
-6.882 -2.555 5.543
4.246 3.996 7.114
Ho Th Sn
2 8 8
Direct
0.000 0.000 0.000 Ho
0.500 0.500 0.500 Ho
0.351 0.427 0.833 Th
0.851 0.667 0.927 Th
0.351 0.573 0.167 Th
0.149 0.073 0.667 Th
0.649 0.833 0.573 Th
0.149 0.927 0.333 Th
0.851 0.333 0.073 Th
0.649 0.167 0.427 Th
0.636 0.887 0.201 Sn
0.636 0.113 0.799 Sn
0.136 0.701 0.613 Sn
0.864 0.387 0.701 Sn
0.864 0.613 0.299 Sn
0.364 0.201 0.113 Sn
0.364 0.799 0.887 Sn
0.136 0.299 0.387 Sn


No. 4
LiDyGe2, relaxed, DFT PBE; raw total energy = -4.42 eV per atom; DFT formation energy = -0.484 eV/atom
1.0
-3.851 1.487 0.824
-2.267 -1.652 3.139
-0.075 3.275 4.491
Ge Li Dy
2 1 1
Direct
0.781 0.781 0.656 Ge
0.219 0.219 0.344 Ge
0.500 0.500 0.500 Li
0.000 0.000 0.000 Dy


No. 5
Pr4PtS2Cl, relaxed, DFT PBE; raw total energy = -6.05 eV per atom
1.0
4.047 0.000 0.000
0.000 7.359 -0.216
0.000 2.526 6.795
Pr Pt S Cl
4 1 2 1
Direct
0.000 0.752 0.758 Pr
0.000 0.248 0.242 Pr
0.500 0.770 0.237 Pr
0.500 0.230 0.763 Pr
0.500 0.500 0.000 Pt
0.000 0.000 0.000 S
0.500 0.000 0.500 S
0.000 0.500 0.500 Cl


No. 6
FeNiGe2, relaxed, DFT PBE; raw total energy = -5.87 eV per atom; DFT formation energy = -0.002 eV/atom
1.0
2.978 0.000 0.000
0.000 2.978 0.000
0.000 0.000 5.719
Ni Ge Fe
1 2 1
Direct
0.500 0.500 0.500 Ni
0.000 0.000 0.757 Ge
0.000 0.000 0.243 Ge
0.500 0.500 0.000 Fe


No. 7
Sr2LaPt, relaxed, DFT PBE; raw total energy = -3.91 eV per atom; DFT formation energy = -0.326 eV/atom
1.0
3.743 -0.003 0.000
0.003 3.743 0.000
0.000 0.000 9.897
La Pt Sr
1 1 2
Direct
0.500 0.500 0.250 La
0.500 0.500 0.750 Pt
0.000 0.000 0.928 Sr
0.000 0.000 0.572 Sr


No. 8
NaCa2SnMo, relaxed, DFT PBE; raw total energy = -2.96 eV per atom; DFT formation energy = 1.069 eV/atom
1.0
-1.714 4.000 -3.479
-0.961 -3.569 -3.630
-5.200 -0.555 1.923
Na Mo Ca Sn
1 1 2 1
Direct
0.000 0.000 0.000 Na
0.500 0.500 0.500 Mo
0.000 0.000 0.500 Ca
0.500 0.000 0.000 Ca
0.000 0.500 0.000 Sn


no.,magnetic moment (μB/f.u.)
1,0.0
2,0.0
3,0.0
4,0.0
5,0.0
6,0.9
7,0.0
8,4.5